The following is a PBE calculation of an optimized crystal structure of MgScZnSn, from OQMD via LeMat-Bulk.

The space group is F-43m (216). Its total magnetization is 0.014 μB/atom. The density comes out at 4.98 g/cm³. The energy relative to the lowest polymorph listed for this composition comes out at 197 meV per atom.

a = 4.926 Å, b = 4.926 Å, c = 4.926 Å
α = 60.00°, β = 60.00°, γ = 60.00°
Atoms (fractional coordinates):
Mg: 0.000 0.000 0.000
Sc: 0.750 0.750 0.750
Zn: 0.500 0.500 0.500
Sn: 0.250 0.250 0.250